NdDyY5Tm2 (PBE, optimized geometry); energy = -5.467 eV/atom; DFT formation energy = 0.16 eV per atom; space-group type = Cmc2_1 (36); N(E_F) = 1.723 states/eV per atom
1.0
5.6245 0.0000 0.0000
-2.8122 10.1096 0.0000
0.0000 0.0000 10.4380
Nd Dy Y Tm
2 2 10 4
Direct
0.8039 0.6078 0.5155
0.1961 0.3922 0.0155
0.5877 0.1754 0.9472
0.4123 0.8246 0.4472
0.3896 0.7793 0.0261
0.7228 0.4457 0.8163
0.4777 0.9553 0.7374
0.3013 0.6026 0.7051
0.9842 0.9684 0.5222
0.6104 0.2207 0.5261
0.2772 0.5543 0.3163
0.5223 0.0447 0.2374
0.6987 0.3974 0.2051
0.0158 0.0316 0.0222
0.8875 0.7750 0.8195
0.1114 0.2227 0.7347
0.1125 0.2250 0.3195
0.8886 0.7773 0.2347

=====

Nd2DyY4Tm2 (PBE, optimized geometry); energy = -5.355 eV/atom; DFT formation energy = 0.08 eV per atom; space-group type = P-1 (2); N(E_F) = 1.652 states/eV per atom
1.0
6.2640 2.4744 0.8686
1.4659 9.6358 2.3124
-3.2831 -4.0548 4.0715
Nd Dy Y Tm
2 1 4 2
Direct
0.2689 0.6550 0.6059
0.7311 0.3450 0.3941
0.0000 0.0000 0.0000
0.7442 0.8843 0.2047
0.6131 0.7603 0.5040
0.2558 0.1157 0.7953
0.3869 0.2397 0.4960
0.8217 0.4467 0.0352
0.1783 0.5533 0.9648

=====

NdDyY2Tm (PBE, optimized geometry); energy = -4.962 eV/atom; DFT formation energy = 0.39 eV per atom; space-group type = Cmcm (63); N(E_F) = 1.435 states/eV per atom
1.0
-3.2540 2.2911 6.0320
-2.6435 -7.8439 1.5532
6.1095 2.8969 2.1955
Nd Dy Y Tm
2 2 4 2
Direct
0.2500 0.7297 0.4593
0.7500 0.2703 0.5407
0.2500 0.9985 0.9970
0.7500 0.0015 0.0030
0.5000 0.3095 0.0000
0.0000 0.6905 0.0000
0.5000 0.6905 0.0000
0.0000 0.3095 0.0000
0.7500 0.7232 0.4464
0.2500 0.2768 0.5536

=====

NdDy2Y4Tm2 (PBE, optimized geometry); energy = -5.416 eV/atom; DFT formation energy = 0.00 eV per atom; space-group type = C2/m (12); N(E_F) = 1.427 states/eV per atom
1.0
-0.2425 2.2613 -2.7790
-6.8637 -6.2013 -2.1271
-2.5564 7.0172 5.9330
Nd Dy Y Tm
1 2 4 2
Direct
0.0000 0.0000 0.0000
0.8514 0.7027 0.3319
0.1486 0.2973 0.6681
0.8140 0.6280 0.6659
0.1860 0.3720 0.3341
0.5188 0.0375 0.3357
0.4812 0.9625 0.6643
0.3317 0.6634 0.9999
0.6683 0.3366 0.0001

=====

Nd6Dy2Y3Tm (PBE, optimized geometry); energy = -5.129 eV/atom; DFT formation energy = 0.01 eV per atom; space-group type = C2/m (12); N(E_F) = 1.143 states/eV per atom
1.0
-0.2677 -4.8846 -3.9391
3.2130 -0.4725 5.3759
-10.5940 -2.0515 4.9304
Nd Dy Y Tm
6 2 3 1
Direct
0.9169 0.5839 0.7515
0.7502 0.7502 0.2486
0.0831 0.4161 0.2485
0.5839 0.9169 0.7515
0.2498 0.2498 0.7514
0.4161 0.0831 0.2485
0.3332 0.6668 0.0000
0.6668 0.3332 0.0000
0.1666 0.8334 0.5000
0.8334 0.1666 0.5000
0.5000 0.5000 0.5000
0.0000 0.0000 0.0000

=====

NdDy2YTm5 (PBE, optimized geometry); energy = -4.468 eV/atom; DFT formation energy = 0.29 eV per atom; space-group type = I4/mcm (140); N(E_F) = 1.227 states/eV per atom
1.0
8.8711 0.0000 0.0000
0.0000 8.8711 0.0000
-4.4356 -4.4356 7.2936
Nd Dy Y Tm
2 4 2 10
Direct
0.2500 0.2500 0.5000
0.7500 0.7500 0.5000
0.1127 0.3873 0.0000
0.6127 0.1127 0.0000
0.3873 0.8873 0.0000
0.8873 0.6127 0.0000
0.2500 0.7500 0.5000
0.7500 0.2500 0.5000
0.9259 0.4259 0.2635
0.6624 0.1624 0.7365
0.0741 0.5741 0.7365
0.1624 0.0741 0.7365
0.5741 0.6624 0.7365
0.8376 0.9259 0.2635
0.4259 0.3376 0.2635
0.3376 0.8376 0.2635
0.5000 0.5000 0.0000
0.0000 0.0000 0.0000

=====

Nd2Dy6YTm (PBE, optimized geometry); energy = -4.695 eV/atom; DFT formation energy = 0.11 eV per atom; space-group type = C2/c (15); N(E_F) = 1.331 states/eV per atom
1.0
9.1696 -2.1261 -2.2064
0.7733 8.5205 -2.0423
0.7733 -2.3566 8.4390
Nd Dy Y Tm
4 12 2 2
Direct
0.4575 0.8050 0.6984
0.0425 0.3016 0.1950
0.5425 0.1950 0.3016
0.9575 0.6984 0.8050
0.0569 0.1273 0.7461
0.4431 0.2539 0.8727
0.9431 0.8727 0.2539
0.5569 0.7461 0.1273
0.3118 0.9795 0.4253
0.1882 0.5747 0.0205
0.6882 0.0205 0.5747
0.8118 0.4253 0.9795
0.1191 0.7093 0.4988
0.3809 0.5012 0.2907
0.8809 0.2907 0.5012
0.6191 0.4988 0.7093
0.2500 0.9817 0.0183
0.7500 0.0183 0.9817
0.2500 0.4076 0.5924
0.7500 0.5924 0.4076

=====

Nd2Dy6Tm3Zr (PBE, optimized geometry); energy = -4.871 eV/atom; DFT formation energy = 0.05 eV per atom; space-group type = C2/m (12); N(E_F) = 1.251 states/eV per atom
1.0
-2.5812 -5.2582 -1.6649
5.2262 -0.0380 3.1254
-6.7662 1.5244 9.3665
Nd Dy Tm Zr
2 6 3 1
Direct
0.3332 0.6668 0.0000
0.6668 0.3332 0.0000
0.9167 0.5901 0.7509
0.7568 0.7568 0.2487
0.0833 0.4099 0.2491
0.5901 0.9167 0.7509
0.2432 0.2432 0.7513
0.4099 0.0833 0.2491
0.1663 0.8337 0.5000
0.8337 0.1663 0.5000
0.5000 0.5000 0.5000
0.0000 0.0000 0.0000

=====

NdDyTmZr (PBE, optimized geometry); energy = -5.377 eV/atom; DFT formation energy = 0.22 eV per atom; space-group type = F-43m (216); N(E_F) = 1.859 states/eV per atom
1.0
-4.1907 3.0781 1.8128
-5.1524 -1.9224 -0.2832
-2.6670 -1.4172 4.6045
Tm Nd Zr Dy
1 1 1 1
Direct
0.2500 0.2500 0.2500
0.5000 0.5000 0.5000
0.0000 0.0000 0.0000
0.7500 0.7500 0.7500

=====

Nd2DyV (PBE, optimized geometry); energy = -5.183 eV/atom; DFT formation energy = 0.63 eV per atom; space-group type = R-3m (166); N(E_F) = 1.588 states/eV per atom
1.0
-0.2876 2.0153 -2.7759
-2.9207 1.7281 -0.5772
3.0599 10.2724 5.0063
V Nd Dy
1 2 1
Direct
0.0000 0.0000 0.0000
0.0814 0.0814 0.7558
0.9186 0.9186 0.2442
0.5000 0.5000 0.5000

=====

Nd12Dy7Y (PBE, optimized geometry); energy = -4.559 eV/atom; DFT formation energy = 0.24 eV per atom; space-group type = R-3m (166); N(E_F) = 1.405 states/eV per atom
1.0
-3.3306 5.2832 0.2578
1.8318 -0.7550 -11.3837
-7.5563 -7.4517 4.5705
Nd Dy Y
12 7 1
Direct
0.0883 0.5876 0.1755
0.0872 0.1755 0.5879
0.5862 0.6469 0.0002
0.4140 0.0002 0.3533
0.4993 0.4121 0.5876
0.0608 0.6467 0.6469
0.9392 0.3533 0.3531
0.5007 0.5879 0.4124
0.5860 0.9998 0.6467
0.4138 0.3531 0.9998
0.9128 0.8245 0.4121
0.9117 0.4124 0.8245
0.1261 0.7547 0.0003
0.8742 0.0003 0.2456
0.6285 0.7544 0.7547
0.5000 0.0000 0.0000
0.3715 0.2456 0.2453
0.1258 0.9997 0.7544
0.8739 0.2453 0.9997
0.0000 0.0000 0.0000

=====

NdDy3Y8 (PBE, optimized geometry); energy = -5.850 eV/atom; DFT formation energy = 0.01 eV per atom; space-group type = Imm2 (44); N(E_F) = 1.925 states/eV per atom
1.0
-5.0914 -6.6866 1.2275
3.8815 3.6228 -6.6294
7.0737 -2.8606 3.7433
Nd Dy Y
1 3 8
Direct
0.8303 0.8304 0.0000
0.5024 0.7535 0.2511
0.5024 0.2513 0.7489
0.8306 0.3306 0.5000
0.4997 0.3332 0.1667
0.4987 0.8339 0.6649
0.1690 0.8338 0.3351
0.1666 0.3330 0.8333
0.1660 0.2516 0.4174
0.8341 0.2513 0.0853
0.1660 0.7488 0.9147
0.8342 0.7486 0.5826